## La2Dy2CCl5 (PBE)

Data for a geometry-optimized La2Dy2CCl5 structure.

It has space group C2/m (No. 12), with a = 17.433 Å, b = 3.867 Å, c = 8.368 Å, α = 90.00°, β = 103.28° and γ = 90.00°. Symmetry generates all atoms from La at (0.002, 0.000, 0.285), Dy at (0.142, 0.500, 0.576), C at (0.000, 0.500, 0.500), Cl at (0.000, 0.500, 0.000), Cl at (0.170, 0.000, 0.811) and Cl at (0.177, 0.000, 0.366).

For the density, the calculation gives 4.8 Mg/m³. As for the crystal system: monoclinic. The calculation puts the electronic total energy at -5.465 eV per atom.